Entry 1:
VASP calculation (PBE) on a geometry-optimized Al2TcMo structure.

```
Al2TcMo
1.0
5.433 0.000 0.000
0.000 8.414 0.000
-0.836 0.000 2.609
Al Tc Mo
4 2 2
Direct
0.250 0.250 0.000 Al
0.250 0.750 0.000 Al
0.750 0.250 0.000 Al
0.750 0.750 0.000 Al
0.000 0.000 0.500 Tc
0.500 0.500 0.500 Tc
0.000 0.500 0.500 Mo
0.500 0.000 0.500 Mo
```

Output
* energy relative to the elements: -64 kJ/mol of formula units
* energy above the most stable polymorph in this dataset: 75.1 kJ/mol of formula units
* calculated volume: 119.3 Å³/cell
* electronic total energy: -58.7 eV per cell


Entry 2:
VASP calculation (PBE) on a geometry-optimized Th6Cu6Hg structure.

```
Th6Cu6Hg
1.0
-2.865 5.049 5.159
2.865 -5.049 5.159
2.865 5.049 -5.159
Th Cu Hg
6 6 1
Direct
0.165 0.500 0.665 Th
0.175 0.175 0.000 Th
0.331 0.000 0.331 Th
0.669 0.000 0.669 Th
0.825 0.825 0.000 Th
0.835 0.500 0.335 Th
0.000 0.000 0.500 Cu
0.000 0.500 0.000 Cu
0.256 0.756 0.500 Cu
0.500 0.000 0.000 Cu
0.500 0.500 0.500 Cu
0.744 0.244 0.500 Cu
0.500 0.500 0.000 Hg
```

Output
* energy relative to the elements: -52 kJ/mol of formula units
* calculated volume: 298.5 Å³/cell
* electronic total energy: -69.9 eV per cell


Entry 3:
VASP calculation (PBE) on a geometry-optimized TmMgNp structure.

```
TmMgNp
1.0
16.599 0.000 0.000
0.000 3.475 0.000
-0.841 0.000 5.209
Tm Mg Np
4 4 4
Direct
0.100 0.000 0.251 Tm
0.400 0.500 0.749 Tm
0.600 0.500 0.251 Tm
0.900 0.000 0.749 Tm
0.071 0.500 0.742 Mg
0.429 0.000 0.258 Mg
0.571 0.000 0.742 Mg
0.929 0.500 0.258 Mg
0.238 0.000 0.843 Np
0.262 0.500 0.157 Np
0.738 0.500 0.843 Np
0.762 0.000 0.157 Np
```

Output
* energy relative to the elements: 57 kJ/mol of formula units
* calculated volume: 300.4 Å³/cell
* electronic total energy: -73.7 eV per cell


Entry 4:
VASP calculation (PBE) on a geometry-optimized ThTi2CoN4 structure.

```
ThTi2CoN4
1.0
1.590 -5.361 0.000
1.590 5.361 0.000
0.000 0.000 10.536
Th Ti Co N
2 4 2 8
Direct
0.103 0.897 0.750 Th
0.897 0.103 0.250 Th
0.368 0.632 0.551 Ti
0.368 0.632 0.949 Ti
0.632 0.368 0.051 Ti
0.632 0.368 0.449 Ti
0.159 0.841 0.250 Co
0.841 0.159 0.750 Co
0.000 0.000 0.000 N
0.000 0.000 0.500 N
0.272 0.728 0.111 N
0.272 0.728 0.389 N
0.435 0.565 0.750 N
0.565 0.435 0.250 N
0.728 0.272 0.611 N
0.728 0.272 0.889 N
```

Output
* E_form (uncorrected): -1228.1 meV/atom
* calculated volume: 179.6 Å³/cell
* electronic total energy: -146.9 eV per cell


Entry 5:
VASP calculation (PBE) on a geometry-optimized YMgCu structure.

```
YMgCu
1.0
6.673 0.000 0.000
0.000 3.340 0.000
0.000 0.000 11.813
Y Mg Cu
4 4 4
Direct
0.150 0.250 0.101 Y
0.350 0.750 0.601 Y
0.650 0.250 0.399 Y
0.850 0.750 0.899 Y
0.139 0.250 0.382 Mg
0.361 0.750 0.882 Mg
0.639 0.250 0.118 Mg
0.861 0.750 0.618 Mg
0.107 0.250 0.758 Cu
0.393 0.750 0.258 Cu
0.607 0.250 0.742 Cu
0.893 0.750 0.242 Cu
```

Output
* energy relative to the elements: -18 kJ/mol of formula units
* energy above the most stable polymorph in this dataset: 45.9 kJ/mol of formula units
* calculated volume: 263.3 Å³/cell
* electronic total energy: -49.3 eV per cell


Entry 6:
VASP calculation (PBE) on a geometry-optimized KBaMo2 structure.

```
KBaMo2
1.0
3.460 0.000 0.000
0.000 6.108 0.000
0.000 0.000 11.706
K Ba Mo
2 2 4
Direct
0.000 0.000 0.000 K
0.500 0.500 0.500 K
0.000 0.500 0.204 Ba
0.500 0.000 0.704 Ba
0.000 0.000 0.413 Mo
0.000 0.500 0.778 Mo
0.500 0.000 0.278 Mo
0.500 0.500 0.913 Mo
```

Output
* energy relative to the elements: 381 kJ/mol of formula units
* energy above the most stable polymorph in this dataset: 81.9 kJ/mol of formula units
* calculated volume: 247.4 Å³/cell
* electronic total energy: -41.5 eV per cell


no.,mass density (g cm⁻³)
1,6.9
2,11.0
3,9.5
4,8.2
5,4.5
6,4.9